The following is a PBE+U calculation of a relaxed Cu3Ni4BiO12 crystal, from Alexandria via LeMat-Bulk.

Results
Total DFT energy (no corrections) (eV per atom): -4.977
DOS at the Fermi energy (states/eV per atom): 0.5412

Geometry as CIF:
```
data_Cu3Ni4BiO12
_symmetry_space_group_name_H-M 'I m -3'
_symmetry_Int_Tables_number 204
_symmetry_space_group_name_Hall '-I 2 2 3'
_cell_length_a 7.332
_cell_length_b 7.332
_cell_length_c 7.332
_cell_angle_alpha 90.00
_cell_angle_beta 90.00
_cell_angle_gamma 90.00
loop_
_atom_site_label
_atom_site_fract_x
_atom_site_fract_y
_atom_site_fract_z
_atom_site_occupancy
Cu1 0.000 0.000 0.500 1
Ni1 0.250 0.250 0.250 1
Bi1 0.000 0.000 0.000 1
O1 0.000 0.171 0.311 1
```